[1]
A plane-wave DFT calculation with PBE was carried out for a relaxed PmTiZnIn crystal.

The space group is F-43m (No. 216) and the conventional cell measures 7.060, 7.060 and 7.060 Å, with angles of 90.00, 90.00 and 90.00 degrees. Symmetry generates all atoms from Pm at (0.000, 0.000, 0.000), Ti at (0.000, 0.000, 0.500), Zn at (0.250, 0.250, 0.750) and In at (0.250, 0.250, 0.250).


[2]
A plane-wave DFT calculation with PBE was carried out for a relaxed Pm12Tl3In crystal.

The space group is P4/mmm (No. 123) and the conventional cell measures 4.957, 4.957 and 19.870 Å, with angles of 90.00, 90.00 and 90.00 degrees. Symmetry generates all atoms from Pm at (0.000, 0.000, 0.000), Pm at (0.000, 0.000, 0.250), Pm at (0.000, 0.000, 0.500), Pm at (0.000, 0.500, 0.124), Pm at (0.000, 0.500, 0.375), Tl at (0.500, 0.500, 0.250), Tl at (0.500, 0.500, 0.500) and In at (0.500, 0.500, 0.000).


Number 1: ΔE_f -13.2 kJ per mole of atoms. Number 2: ΔE_f -21.4 kJ per mole of atoms.